[1]
# NaFe2Re2 PBE-GGA relaxed
data_NaFe2Re2
_chemical_formula_sum 'Na2 Fe4 Re4'
_space_group_name_H-M_alt 'P 4/m b m'
_space_group_IT_number 127
_space_group_name_Hall '-P 4 2ab'
_cell_length_a 7.424
_cell_length_b 7.424
_cell_length_c 2.616
_cell_angle_alpha 90.00
_cell_angle_beta 90.00
_cell_angle_gamma 90.00
loop_
_atom_site_label
_atom_site_fract_x
_atom_site_fract_y
_atom_site_fract_z
Na1 0.000 0.000 0.000
Fe1 0.132 0.368 0.000
Re1 0.154 0.654 0.500
# total magnetic moment	0.0	μB/cell
# energy of formation	0.43	eV per atom

---

[2]
# Na3FeRe PBE-GGA relaxed
data_Na3FeRe
_chemical_formula_sum 'Na3 Fe1 Re1'
_space_group_name_H-M_alt 'P m -3 m'
_space_group_IT_number 221
_space_group_name_Hall '-P 4 2 3'
_cell_length_a 5.252
_cell_length_b 5.252
_cell_length_c 5.252
_cell_angle_alpha 90.00
_cell_angle_beta 90.00
_cell_angle_gamma 90.00
loop_
_atom_site_label
_atom_site_fract_x
_atom_site_fract_y
_atom_site_fract_z
Na1 0.000 0.000 0.500
Fe1 0.000 0.000 0.000
Re1 0.500 0.500 0.500
# total magnetic moment	4.1	μB/cell
# energy of formation	2.20	eV per atom
# distance to the lowest polymorph of the same formula	147	meV per atom

---

[3]
# NaFeRe2 PBE-GGA relaxed
data_NaFeRe2
_chemical_formula_sum 'Na4 Fe4 Re8'
_space_group_name_H-M_alt 'I -4 2 d'
_space_group_IT_number 122
_space_group_name_Hall 'I -4 2bw'
_cell_length_a 7.236
_cell_length_b 7.236
_cell_length_c 5.017
_cell_angle_alpha 90.00
_cell_angle_beta 90.00
_cell_angle_gamma 90.00
loop_
_atom_site_label
_atom_site_fract_x
_atom_site_fract_y
_atom_site_fract_z
Na1 0.000 0.000 0.000
Fe1 0.000 0.000 0.500
Re1 0.182 0.250 0.625
# total magnetic moment	0.0	μB/cell
# energy of formation	1.16	eV per atom
# distance to the lowest polymorph of the same formula	0	meV per atom

---

[4]
# Na3FeRe PBE-GGA relaxed
data_Na3FeRe
_chemical_formula_sum 'Na3 Fe1 Re1'
_space_group_name_H-M_alt 'P m -3 m'
_space_group_IT_number 221
_space_group_name_Hall '-P 4 2 3'
_cell_length_a 5.576
_cell_length_b 5.576
_cell_length_c 5.576
_cell_angle_alpha 90.00
_cell_angle_beta 90.00
_cell_angle_gamma 90.00
loop_
_atom_site_label
_atom_site_fract_x
_atom_site_fract_y
_atom_site_fract_z
Na1 0.000 0.000 0.500
Fe1 0.500 0.500 0.500
Re1 0.000 0.000 0.000
# total magnetic moment	6.2	μB/cell
# energy of formation	2.06	eV per atom
# distance to the lowest polymorph of the same formula	0	meV per atom

---

[5]
# Na2FeRe PBE-GGA relaxed
data_Na2FeRe
_chemical_formula_sum 'Na8 Fe4 Re4'
_space_group_name_H-M_alt 'F m -3 m'
_space_group_IT_number 225
_space_group_name_Hall '-F 4 2 3'
_cell_length_a 6.574
_cell_length_b 6.574
_cell_length_c 6.574
_cell_angle_alpha 90.00
_cell_angle_beta 90.00
_cell_angle_gamma 90.00
loop_
_atom_site_label
_atom_site_fract_x
_atom_site_fract_y
_atom_site_fract_z
Na1 0.250 0.250 0.250
Fe1 0.000 0.000 0.000
Re1 0.000 0.000 0.500
# total magnetic moment	9.6	μB/cell
# energy of formation	2.00	eV per atom
# distance to the lowest polymorph of the same formula	443	meV per atom

---

[6]
# NaFe3Re PBE-GGA relaxed
data_NaFe3Re
_chemical_formula_sum 'Na1 Fe3 Re1'
_space_group_name_H-M_alt 'P m -3 m'
_space_group_IT_number 221
_space_group_name_Hall '-P 4 2 3'
_cell_length_a 4.602
_cell_length_b 4.602
_cell_length_c 4.602
_cell_angle_alpha 90.00
_cell_angle_beta 90.00
_cell_angle_gamma 90.00
loop_
_atom_site_label
_atom_site_fract_x
_atom_site_fract_y
_atom_site_fract_z
Na1 0.000 0.000 0.000
Fe1 0.000 0.500 0.500
Re1 0.500 0.500 0.500
# total magnetic moment	6.2	μB/cell
# energy of formation	1.29	eV per atom
# distance to the lowest polymorph of the same formula	0	meV per atom

---

[7]
# NaFeRe2 PBE-GGA relaxed
data_NaFeRe2
_chemical_formula_sum 'Na4 Fe4 Re8'
_space_group_name_H-M_alt 'F m -3 m'
_space_group_IT_number 225
_space_group_name_Hall '-F 4 2 3'
_cell_length_a 6.063
_cell_length_b 6.063
_cell_length_c 6.063
_cell_angle_alpha 90.00
_cell_angle_beta 90.00
_cell_angle_gamma 90.00
loop_
_atom_site_label
_atom_site_fract_x
_atom_site_fract_y
_atom_site_fract_z
Na1 0.000 0.000 0.000
Fe1 0.000 0.000 0.500
Re1 0.250 0.250 0.250
# total magnetic moment	0.0	μB/cell
# energy of formation	1.20	eV per atom
# distance to the lowest polymorph of the same formula	33	meV per atom

---

[8]
# Na2FeRe PBE-GGA relaxed
data_Na2FeRe
_chemical_formula_sum 'Na8 Fe4 Re4'
_space_group_name_H-M_alt 'I -4 2 d'
_space_group_IT_number 122
_space_group_name_Hall 'I -4 2bw'
_cell_length_a 8.233
_cell_length_b 8.233
_cell_length_c 4.725
_cell_angle_alpha 90.00
_cell_angle_beta 90.00
_cell_angle_gamma 90.00
loop_
_atom_site_label
_atom_site_fract_x
_atom_site_fract_y
_atom_site_fract_z
Na1 0.217 0.250 0.125
Fe1 0.000 0.000 0.000
Re1 0.000 0.000 0.500
# total magnetic moment	16.5	μB/cell
# energy of formation	1.56	eV per atom
# distance to the lowest polymorph of the same formula	0	meV per atom

---

[9]
# NaFeRe3 PBE-GGA relaxed
data_NaFeRe3
_chemical_formula_sum 'Na1 Fe1 Re3'
_space_group_name_H-M_alt 'P m -3 m'
_space_group_IT_number 221
_space_group_name_Hall '-P 4 2 3'
_cell_length_a 4.487
_cell_length_b 4.487
_cell_length_c 4.487
_cell_angle_alpha 90.00
_cell_angle_beta 90.00
_cell_angle_gamma 90.00
loop_
_atom_site_label
_atom_site_fract_x
_atom_site_fract_y
_atom_site_fract_z
Na1 0.000 0.000 0.000
Fe1 0.500 0.500 0.500
Re1 0.000 0.500 0.500
# total magnetic moment	0.0	μB/cell
# energy of formation	1.67	eV per atom

---

[10]
# NaFeRe2Sb PBE-GGA relaxed
data_NaFeRe2Sb
_chemical_formula_sum 'Na1 Fe1 Re2 Sb1'
_space_group_name_H-M_alt 'P 4/m m m'
_space_group_IT_number 123
_space_group_name_Hall '-P 4 2'
_cell_length_a 4.544
_cell_length_b 4.544
_cell_length_c 4.791
_cell_angle_alpha 90.00
_cell_angle_beta 90.00
_cell_angle_gamma 90.00
loop_
_atom_site_label
_atom_site_fract_x
_atom_site_fract_y
_atom_site_fract_z
Na1 0.000 0.000 0.000
Fe1 0.500 0.500 0.500
Re1 0.000 0.500 0.500
Sb1 0.500 0.500 0.000
# formation energy (no corrections)	1.36	eV per atom
# total magnetic moment	0.0	μB/cell

---

[11]
# NaZn2FeRe PBE-GGA relaxed
data_NaZn2FeRe
_chemical_formula_sum 'Na1 Zn2 Fe1 Re1'
_space_group_name_H-M_alt 'P 4/m m m'
_space_group_IT_number 123
_space_group_name_Hall '-P 4 2'
_cell_length_a 4.348
_cell_length_b 4.348
_cell_length_c 4.417
_cell_angle_alpha 90.00
_cell_angle_beta 90.00
_cell_angle_gamma 90.00
loop_
_atom_site_label
_atom_site_fract_x
_atom_site_fract_y
_atom_site_fract_z
Na1 0.000 0.000 0.000
Zn1 0.000 0.500 0.000
Fe1 0.000 0.000 0.500
Re1 0.500 0.500 0.500
# total magnetic moment	4.1	μB/cell
# energy of formation	1.86	eV per atom

---

[12]
# NaFeRh PBE-GGA relaxed
data_NaFeRh
_chemical_formula_sum 'Na2 Fe2 Rh2'
_space_group_name_H-M_alt 'P 4/n m m'
_space_group_IT_number 129
_cell_length_a 3.234
_cell_length_b 3.234
_cell_length_c 10.436
_cell_angle_alpha 90.00
_cell_angle_beta 90.00
_cell_angle_gamma 90.00
loop_
_space_group_symop_operation_xyz
'x,y,z'
'-x,-y,-z'
'-y+1/2,x,z'
'y+1/2,-x,-z'
'-x+1/2,-y+1/2,z'
'x+1/2,y+1/2,-z'
'y,-x+1/2,z'
'-y,x+1/2,-z'
'x+1/2,-y,-z'
'-x+1/2,y,z'
'-y,-x,-z'
'y,x,z'
'-x,y+1/2,-z'
'x,-y+1/2,z'
'y+1/2,x+1/2,-z'
'-y+1/2,-x+1/2,z'
loop_
_atom_site_label
_atom_site_fract_x
_atom_site_fract_y
_atom_site_fract_z
Na1 0.250 0.250 0.137
Fe1 0.250 0.750 0.500
Rh1 0.250 0.250 0.677
# total magnetic moment	0.0	μB/cell
# energy of formation	0.52	eV per atom
# distance to the lowest polymorph of the same formula	409	meV per atom

---

[13]
# NaFeRh PBE-GGA relaxed
data_NaFeRh
_chemical_formula_sum 'Na4 Fe4 Rh4'
_space_group_name_H-M_alt 'C 1 2/m 1'
_space_group_IT_number 12
_space_group_name_Hall '-C 2y'
_cell_length_a 5.705
_cell_length_b 5.700
_cell_length_c 7.117
_cell_angle_alpha 90.00
_cell_angle_beta 90.24
_cell_angle_gamma 90.00
loop_
_atom_site_label
_atom_site_fract_x
_atom_site_fract_y
_atom_site_fract_z
Na1 0.249 0.000 0.143
Fe1 0.000 0.250 0.500
Rh1 0.249 0.500 0.303
# total magnetic moment	16.6	μB/cell
# energy of formation	0.28	eV per atom
# distance to the lowest polymorph of the same formula	174	meV per atom